# LiOsPb2Cl

A relaxed structure of LiOsPb2Cl (GGA-PBE, the Alexandria database).

```
LiOsPb2Cl
1.0
5.2403 0.0000 0.0000
0.0000 5.2403 0.0000
0.0000 0.0000 4.9632
Li Os Pb Cl
1 1 2 1
direct
0.0000 0.0000 0.0000
0.0000 0.0000 0.5000
0.0000 0.5000 0.5000
0.5000 0.0000 0.5000
0.5000 0.5000 0.0000
```

Output
Calculated volume   27.26 A^3/atom

# RbLi2OsCl8

A relaxed structure of RbLi2OsCl8 (GGA-PBE, the Alexandria database).

```
RbLi2OsCl8
1.0
6.1429 0.0000 0.0000
0.6379 6.8963 0.0000
0.8791 2.2777 8.0805
Rb Li Os Cl
1 2 1 8
direct
0.0000 0.0000 0.0000
0.4841 0.4920 0.8311
0.5159 0.5080 0.1689
0.0000 0.5000 0.5000
0.0910 0.5197 0.7582
0.2012 0.1973 0.5327
0.3043 0.6744 0.3683
0.4937 0.2307 0.0722
0.5063 0.7693 0.9278
0.6957 0.3256 0.6317
0.7988 0.8027 0.4673
0.9090 0.4803 0.2418
```

Output
Calculated volume   28.53 A^3/atom

# Li2OsRuCl

A relaxed structure of Li2OsRuCl (GGA-PBE, the Alexandria database).

```
Li2OsRuCl
1.0
5.0243 0.0000 0.0000
0.0000 5.0243 0.0000
0.0000 0.0000 4.5481
Li Os Ru Cl
2 1 1 1
direct
0.0000 0.5000 0.0000
0.5000 0.0000 0.0000
0.0000 0.0000 0.0000
0.0000 0.0000 0.5000
0.5000 0.5000 0.5000
```

Output
Calculated volume   22.96 A^3/atom

# LiOs2SCl

A relaxed structure of LiOs2SCl (GGA-PBE, the Alexandria database).

```
LiOs2SCl
1.0
4.4008 0.0000 0.0000
0.0000 4.4008 0.0000
0.0000 0.0000 4.2620
Li Os S Cl
1 2 1 1
direct
0.0000 0.0000 0.0000
0.0000 0.5000 0.5000
0.5000 0.0000 0.5000
0.5000 0.5000 0.0000
0.0000 0.0000 0.5000
```

Output
Calculated volume   16.51 A^3/atom

Number 1: uncorrected formation energy 0.507 eV per formula unit. Number 2: uncorrected formation energy -13.394 eV per formula unit. Number 3: uncorrected formation energy 4.086 eV per formula unit. Number 4: uncorrected formation energy 6.863 eV per formula unit.